# 1
MgTcSb2Se at its PBEsol-relaxed geometry. Source: the Alexandria database, functional SCAN.

Geometry as POSCAR:
```
MgTcSb2Se
1.0
5.3288 0.0000 0.0000
0.0000 5.3288 0.0000
0.0000 0.0000 4.6873
Mg Tc Sb Se
1 1 2 1
Direct
0.0000 0.0000 0.0000
0.5000 0.5000 0.0000
0.0000 0.5000 0.5000
0.5000 0.0000 0.5000
0.0000 0.0000 0.5000
```

Space group: P4/mmm
DOS(E_F) (states/eV per cell): 3.593
Volume (Å³/f.u.): 133.10
Magnetic moment (μB per atom): 0.66
Theoretical density (Mg/m³): 5.549
E_tot (eV per atom): -25.94

# 2
MgTiSbSe2 at its PBEsol-relaxed geometry. Source: the Alexandria database, functional SCAN.

Geometry as POSCAR:
```
MgTiSbSe2
1.0
4.7815 0.0000 0.0000
0.0000 4.7815 0.0000
0.0000 0.0000 5.3669
Mg Ti Sb Se
1 1 1 2
Direct
0.0000 0.0000 0.0000
0.0000 0.0000 0.5000
0.5000 0.5000 0.5000
0.0000 0.5000 0.0000
0.5000 0.0000 0.0000
```

Space group: P4/mmm
DOS(E_F) (states/eV per cell): 4.856
Volume (Å³/f.u.): 122.70
Magnetic moment (μB per atom): 0.38
Theoretical density (Mg/m³): 4.762
E_tot (eV per atom): -19.21

# 3
MgSi2Sb at its PBEsol-relaxed geometry. Source: the Alexandria database, functional SCAN.

Geometry as POSCAR:
```
MgSi2Sb
1.0
0.0000 2.8334 5.0454
2.7536 0.0000 5.0454
2.7536 2.8334 0.0000
Mg Si Sb
1 2 1
Direct
0.0000 0.0000 0.0000
0.0000 0.5000 0.5000
0.5000 0.0000 0.0000
0.5000 0.5000 0.5000
```

Space group: Fmmm
DOS(E_F) (states/eV per cell): 1.248
Offset from the most stable computed form (meV/atom): 30.8
Volume (Å³/f.u.): 78.73
Magnetic moment (μB per atom): 0.00
Theoretical density (Mg/m³): 4.266
E_tot (eV per atom): -15.23

# 4
MgSi2Sb at its PBEsol-relaxed geometry. Source: the Alexandria database, functional SCAN.

Geometry as POSCAR:
```
MgSi2Sb
1.0
2.8984 0.0000 0.0000
0.0000 4.1372 0.0000
0.0000 0.0000 6.5671
Mg Si Sb
1 2 1
Direct
0.0000 0.0000 0.0000
0.5000 0.5000 0.1956
0.5000 0.5000 0.8044
0.5000 0.0000 0.5000
```

Space group: Pmmm
DOS(E_F) (states/eV per cell): 1.549
Offset from the most stable computed form (meV/atom): 0.0
Volume (Å³/f.u.): 78.75
Magnetic moment (μB per atom): 0.00
Theoretical density (Mg/m³): 4.265
E_tot (eV per atom): -15.26

# 5
MgSi3Sb at its PBEsol-relaxed geometry. Source: the Alexandria database, functional SCAN.

Geometry as POSCAR:
```
MgSi3Sb
1.0
4.8506 0.0000 0.0000
0.0000 4.8506 0.0000
0.0000 0.0000 4.8506
Mg Si Sb
1 3 1
Direct
0.0000 0.0000 0.0000
0.0000 0.0000 0.5000
0.0000 0.5000 0.0000
0.5000 0.0000 0.0000
0.5000 0.5000 0.5000
```

Space group: Pm-3m
DOS(E_F) (states/eV per cell): 3.114
Volume (Å³/f.u.): 114.12
Magnetic moment (μB per atom): 0.00
Theoretical density (Mg/m³): 3.351
E_tot (eV per atom): -13.23

# 6
MgSi2Sb at its PBEsol-relaxed geometry. Source: the Alexandria database, functional SCAN.

Geometry as POSCAR:
```
MgSi2Sb
1.0
-3.1167 3.1167 5.6702
3.1167 -3.1167 5.6702
3.1167 3.1167 -5.6702
Mg Si Sb
2 4 2
Direct
0.0000 0.0000 0.0000
0.7500 0.2500 0.5000
0.1303 0.6250 0.0053
0.3750 0.3803 0.5053
0.6197 0.1250 0.9947
0.8750 0.8697 0.4947
0.2500 0.7500 0.5000
0.5000 0.5000 0.0000
```

Space group: I-42d
DOS(E_F) (states/eV per cell): 3.966
Offset from the most stable computed form (meV/atom): 135.9
Volume (Å³/f.u.): 110.16
Magnetic moment (μB per atom): 0.00
Theoretical density (Mg/m³): 3.049
E_tot (eV per atom): -15.12

# 7
MgSi2Sb at its PBEsol-relaxed geometry. Source: the Alexandria database, functional SCAN.

Geometry as POSCAR:
```
MgSi2Sb
1.0
0.0000 3.3829 3.3829
3.3829 0.0000 3.3829
3.3829 3.3829 0.0000
Mg Si Sb
1 2 1
Direct
0.0000 0.0000 0.0000
0.5000 0.5000 0.5000
0.7500 0.7500 0.7500
0.2500 0.2500 0.2500
```

Space group: F-43m
DOS(E_F) (states/eV per cell): 1.906
Offset from the most stable computed form (meV/atom): 203.1
Volume (Å³/f.u.): 77.42
Magnetic moment (μB per atom): 0.00
Theoretical density (Mg/m³): 4.337
E_tot (eV per atom): -15.06

# 8
MgSiSbTe2 at its PBEsol-relaxed geometry. Source: the Alexandria database, functional SCAN.

Geometry as POSCAR:
```
MgSiSbTe2
1.0
5.2526 0.0000 0.0000
0.0000 5.2526 0.0000
0.0000 0.0000 5.1430
Mg Si Sb Te
1 1 1 2
Direct
0.0000 0.0000 0.0000
0.5000 0.5000 0.5000
0.5000 0.5000 0.0000
0.0000 0.5000 0.5000
0.5000 0.0000 0.5000
```

Space group: P4/mmm
DOS(E_F) (states/eV per cell): 4.103
Volume (Å³/f.u.): 141.90
Magnetic moment (μB per atom): 0.00
Theoretical density (Mg/m³): 5.024
E_tot (eV per atom): -24.92

# 9
SmMg5Sb4 at its PBEsol-relaxed geometry. Source: the Alexandria database, functional SCAN.

Geometry as POSCAR:
```
SmMg5Sb4
1.0
4.6108 0.0000 0.0000
-2.3054 3.9930 0.0000
0.0000 0.0000 14.4343
Sm Mg Sb
1 5 4
Direct
0.0000 0.0000 0.0000
0.0000 0.0000 0.5000
0.3333 0.6667 0.3262
0.3333 0.6667 0.8114
0.6667 0.3333 0.1886
0.6667 0.3333 0.6738
0.3333 0.6667 0.1224
0.3333 0.6667 0.6100
0.6667 0.3333 0.3900
0.6667 0.3333 0.8776
```

Space group: P-3m1
DOS(E_F) (states/eV per cell): 2.245
Volume (Å³/f.u.): 265.75
Magnetic moment (μB per atom): 0.00
Theoretical density (Mg/m³): 4.742
E_tot (eV per atom): -22.39

# 10
MgSnSb3 at its PBEsol-relaxed geometry. Source: the Alexandria database, functional SCAN.

Geometry as POSCAR:
```
MgSnSb3
1.0
5.3070 0.0000 0.0000
0.0000 5.3070 0.0000
0.0000 0.0000 5.3070
Mg Sn Sb
1 1 3
Direct
0.0000 0.0000 0.0000
0.5000 0.5000 0.5000
0.0000 0.0000 0.5000
0.0000 0.5000 0.0000
0.5000 0.0000 0.0000
```

Space group: Pm-3m
DOS(E_F) (states/eV per cell): 3.803
Volume (Å³/f.u.): 149.47
Magnetic moment (μB per atom): 0.00
Theoretical density (Mg/m³): 5.647
E_tot (eV per atom): -29.95

# 11
SrMg2Sb at its PBEsol-relaxed geometry. Source: the Alexandria database, functional SCAN.

Geometry as POSCAR:
```
SrMg2Sb
1.0
5.8257 -2.1402 0.0000
5.8257 2.1402 0.0000
-2.1283 0.0000 4.5170
Sr Mg Sb
1 2 1
Direct
0.0000 0.0000 0.0000
0.2275 0.2275 0.7273
0.7725 0.7725 0.2727
0.5000 0.5000 0.5000
```

Space group: C2/m
DOS(E_F) (states/eV per cell): 1.697
Volume (Å³/f.u.): 112.64
Magnetic moment (μB per atom): 0.00
Theoretical density (Mg/m³): 3.803
E_tot (eV per atom): -17.67

# 12
Sr2MgSb at its PBEsol-relaxed geometry. Source: the Alexandria database, functional SCAN.

Geometry as POSCAR:
```
Sr2MgSb
1.0
4.6616 0.0000 0.0000
0.0000 2.3858 6.2410
0.0000 -2.3858 6.2410
Sr Mg Sb
2 1 1
Direct
0.0000 0.0000 0.0000
0.5000 0.2848 0.2848
0.0000 0.7110 0.7110
0.5000 0.5640 0.5640
```

Space group: Amm2
DOS(E_F) (states/eV per cell): 1.411
Offset from the most stable computed form (meV/atom): 0.0
Volume (Å³/f.u.): 138.82
Magnetic moment (μB per atom): 0.00
Theoretical density (Mg/m³): 3.843
E_tot (eV per atom): -22.36

# 13
Sr2MgSb at its PBEsol-relaxed geometry. Source: the Alexandria database, functional SCAN.

Geometry as POSCAR:
```
Sr2MgSb
1.0
-2.4004 2.4004 5.6625
2.4004 -2.4004 5.6625
2.4004 2.4004 -5.6625
Sr Mg Sb
2 1 1
Direct
0.0000 0.0000 0.0000
0.7500 0.2500 0.5000
0.5000 0.5000 0.0000
0.2500 0.7500 0.5000
```

Space group: I-4m2
DOS(E_F) (states/eV per cell): 1.885
Offset from the most stable computed form (meV/atom): 229.1
Volume (Å³/f.u.): 130.51
Magnetic moment (μB per atom): 0.24
Theoretical density (Mg/m³): 4.088
E_tot (eV per atom): -22.13

# 14
SrMg3Sb at its PBEsol-relaxed geometry. Source: the Alexandria database, functional SCAN.

Geometry as POSCAR:
```
SrMg3Sb
1.0
5.5395 0.0000 0.0000
0.0000 5.5395 0.0000
0.0000 0.0000 5.5395
Sr Mg Sb
1 3 1
Direct
0.0000 0.0000 0.0000
0.0000 0.5000 0.5000
0.5000 0.0000 0.5000
0.5000 0.5000 0.0000
0.5000 0.5000 0.5000
```

Space group: Pm-3m
DOS(E_F) (states/eV per cell): 2.869
Volume (Å³/f.u.): 169.98
Magnetic moment (μB per atom): 0.02
Theoretical density (Mg/m³): 2.758
E_tot (eV per atom): -14.78

# 15
MgTa2Sb at its PBEsol-relaxed geometry. Source: the Alexandria database, functional SCAN.

Geometry as POSCAR:
```
MgTa2Sb
1.0
3.5593 0.0000 0.0000
0.0000 3.5593 0.0000
0.0000 0.0000 5.9757
Mg Ta Sb
1 2 1
Direct
0.0000 0.0000 0.0000
0.5000 0.5000 0.2683
0.5000 0.5000 0.7317
0.0000 0.0000 0.5000
```

Space group: P4/mmm
DOS(E_F) (states/eV per cell): 3.083
Offset from the most stable computed form (meV/atom): 105.1
Volume (Å³/f.u.): 75.70
Magnetic moment (μB per atom): 0.00
Theoretical density (Mg/m³): 11.142
E_tot (eV per atom): -43.51